Compound: NdDy3TmTh
Source: Alexandria
Functional: PBE-GGA
Structure: relaxed

Properties
Crystal system: monoclinic
Symmetry: No. 11
Calculated density, kg/m³: 8909

The structure in extended XYZ format:
```
12
Lattice="7.964 0.000 0.000 0.000 5.056 0.000 -3.254 0.000 9.560" Properties=species:S:1:pos:R:3 pbc="T T T"
Nd 0.389 1.264 2.797
Nd 4.321 3.792 6.763
Dy -0.412 3.792 5.196
Dy 1.254 3.792 0.415
Dy -1.175 1.264 7.580
Dy 5.886 3.792 1.980
Dy 3.456 1.264 9.145
Dy 5.123 1.264 4.364
Tm 1.934 1.264 5.999
Tm 2.776 3.792 3.561
Th 1.111 3.792 8.394
Th 3.600 1.264 1.166
```

---

Compound: NdDy2TmTh
Source: Alexandria
Functional: PBE-GGA
Structure: relaxed

Properties
Crystal system: monoclinic
Symmetry: No. 10
Calculated density, kg/m³: 8363

The structure in extended XYZ format:
```
5
Lattice="3.534 0.000 0.000 0.000 5.632 0.000 -0.012 0.000 8.680" Properties=species:S:1:pos:R:3 pbc="T T T"
Nd 0.000 0.000 0.000
Dy 0.000 2.816 2.797
Dy 3.522 2.816 5.883
Tm 1.761 0.000 4.340
Th 1.767 2.816 0.000
```

---

Number 1: formation energy 0.028 eV/atom. Number 2: formation energy 0.328 eV/atom.